Entry from the Alexandria database: crystalline Li2YI2 at its relaxed geometry (PBE).

abc: 8.1575 8.1575 3.8089
angles: 90.00 90.00 90.00
Fractional coordinates of all 10 atoms:
1 Li 0.1270 0.3730 0.0000
2 Li 0.3730 0.8730 0.0000
3 Li 0.6270 0.1270 0.0000
4 Li 0.8730 0.6270 0.0000
5 Y 0.0000 0.0000 0.0000
6 Y 0.5000 0.5000 0.0000
7 I 0.1785 0.6785 0.5000
8 I 0.3215 0.1785 0.5000
9 I 0.6785 0.8215 0.5000
10 I 0.8215 0.3215 0.5000

E_tot   -30.52 eV for the cell shown
Magnetization   2.066 Bohr magnetons per cell
Space-group type   P4/mbm
Distance to the lowest polymorph of the same formula   23 meV/atom
Density of states at the Fermi level   2.03 states/eV/f.u.